(1)
Below is crystalline Hf2MgNi at its relaxed geometry, with properties calculated at the GGA-PBE level.

Calculated values
Total magnetic moment = 0.01 μB per formula unit
Uncorrected energy = -6.500 eV/atom

Cell lengths 6.673, 6.673, 6.673 Å; angles 90.00, 90.00, 90.00 degrees
Space group F-43m (No. 216)
Inequivalent atoms, fractional coordinates:
Hf (0.000, 0.000, 0.000) [4 per cell]
Hf (0.250, 0.250, 0.250) [4 per cell]
Mg (0.250, 0.250, 0.750) [4 per cell]
Ni (0.000, 0.000, 0.500) [4 per cell]



(2)
Below is crystalline DyErSi2 at its relaxed geometry, with properties calculated at the GGA-PBE level.

Calculated values
Total magnetic moment = 0.01 μB per formula unit
Uncorrected energy = -5.830 eV/atom

Cell lengths 3.821, 4.254, 10.489 Å; angles 90.00, 90.00, 90.00 degrees
Space group Amm2 (No. 38)
Inequivalent atoms, fractional coordinates:
Dy (0.000, 0.000, 0.000) [2 per cell]
Er (0.500, 0.000, 0.719) [2 per cell]
Si (0.000, 0.000, 0.282) [2 per cell]
Si (0.500, 0.000, 0.436) [2 per cell]



(3)
Below is crystalline Tb2PIr8 at its relaxed geometry, with properties calculated at the GGA-PBE level.

Calculated values
Total magnetic moment = 0.01 μB per formula unit
Uncorrected energy = -8.262 eV/atom

Cell lengths 4.238, 17.186, 5.268 Å; angles 90.00, 90.00, 90.00 degrees
Space group Amm2 (No. 38)
Inequivalent atoms, fractional coordinates:
Tb (0.000, 0.118, 0.000) [4 per cell]
P (0.500, 0.000, 0.258) [2 per cell]
Ir (0.000, 0.000, 0.489) [2 per cell]
Ir (0.000, 0.202, 0.505) [4 per cell]
Ir (0.500, 0.000, 0.838) [2 per cell]
Ir (0.500, 0.113, 0.498) [4 per cell]
Ir (0.500, 0.247, 0.250) [4 per cell]



(4)
Below is crystalline Li2CdO4 at its relaxed geometry, with properties calculated at the GGA-PBE level.

Calculated values
Uncorrected energy = -3.901 eV/atom

Cell lengths 8.476, 8.476, 8.476 Å; angles 90.00, 90.00, 90.00 degrees
Space group Fd-3m (No. 227, origin choice 2)
Inequivalent atoms, fractional coordinates:
Li (0.000, 0.000, 0.000) [16 per cell]
Cd (0.125, 0.125, 0.625) [8 per cell]
O (0.017, 0.017, 0.233) [32 per cell]



(5)
Below is crystalline PmMgTl at its relaxed geometry, with properties calculated at the GGA-PBE level.

Calculated values
Total magnetic moment = 0.00 μB per formula unit
Uncorrected energy = -2.694 eV/atom

Cell lengths 7.268, 7.268, 7.268 Å; angles 90.00, 90.00, 90.00 degrees
Space group F-43m (No. 216)
Inequivalent atoms, fractional coordinates:
Pm (0.000, 0.000, 0.000) [4 per cell]
Mg (0.250, 0.250, 0.750) [4 per cell]
Tl (0.250, 0.250, 0.250) [4 per cell]



(6)
Below is crystalline Pm7Ir3 at its relaxed geometry, with properties calculated at the GGA-PBE level.

Calculated values
Total magnetic moment = 0.00 μB per formula unit
Uncorrected energy = -6.533 eV/atom
DFT formation energy = -12.8 kcal/mol of atoms

Cell lengths 10.0677, 10.0677, 6.3139 Å; angles 90.00, 90.00, 120.00 degrees
Space group P6_3mc (No. 186)
Inequivalent atoms, fractional coordinates:
Pm (0.0796, 0.5398, 0.0000) [6 per cell]
Pm (0.1254, 0.2508, 0.3067) [6 per cell]
Pm (0.3333, 0.6667, 0.5273) [2 per cell]
Ir (0.1884, 0.3768, 0.7467) [6 per cell]



(7)
Below is crystalline ScCuSb2 at its relaxed geometry, with properties calculated at the GGA-PBE level.

Calculated values
Total magnetic moment = 0.00 μB per formula unit
Uncorrected energy = -4.547 eV/atom

Cell lengths 7.086, 7.086, 7.086 Å; angles 90.00, 90.00, 90.00 degrees
Space group F-43m (No. 216)
Inequivalent atoms, fractional coordinates:
Sc (0.000, 0.000, 0.000) [4 per cell]
Cu (0.250, 0.250, 0.250) [4 per cell]
Sb (0.000, 0.000, 0.500) [4 per cell]
Sb (0.250, 0.250, 0.750) [4 per cell]



(8)
Below is crystalline NdTlZnS3 at its relaxed geometry, with properties calculated at the GGA-PBE level.

Calculated values
Total magnetic moment = 0.00 μB per formula unit
Uncorrected energy = -4.654 eV/atom

Cell lengths 4.074, 14.196, 10.947 Å; angles 90.00, 90.00, 90.00 degrees
Space group Cmcm (No. 63)
Inequivalent atoms, fractional coordinates:
Nd (0.000, 0.000, 0.000) [4 per cell]
Tl (0.000, 0.252, 0.250) [4 per cell]
Zn (0.000, 0.462, 0.750) [4 per cell]
S (0.000, 0.060, 0.750) [4 per cell]
S (0.000, 0.373, 0.571) [8 per cell]



(9)
Below is crystalline LiSiAgTeSe2 at its relaxed geometry, with properties calculated at the GGA-PBE level.

Calculated values
Uncorrected energy = -3.638 eV/atom

Cell lengths 3.483, 14.062, 10.927 Å; angles 90.00, 90.00, 90.00 degrees
Space group Cmcm (No. 63)
Inequivalent atoms, fractional coordinates:
Li (0.000, 0.208, 0.250) [4 per cell]
Si (0.000, 0.500, 0.000) [4 per cell]
Ag (0.000, 0.132, 0.750) [4 per cell]
Te (0.000, 0.450, 0.750) [4 per cell]
Se (0.000, 0.129, 0.519) [8 per cell]



(10)
Below is crystalline Al2Mo3Ir2 at its relaxed geometry, with properties calculated at the GGA-PBE level.

Calculated values
Total magnetic moment = 0.03 μB per formula unit
Uncorrected energy = -8.626 eV/atom

Cell lengths 4.3470, 4.3470, 19.0842 Å; angles 90.00, 90.00, 120.00 degrees
Space group R3m (No. 160, hexagonal axes)
Inequivalent atoms, fractional coordinates:
Al (0.0000, 0.0000, 0.0000) [3 per cell]
Al (0.0000, 0.0000, 0.4222) [3 per cell]
Mo (0.0000, 0.0000, 0.2796) [3 per cell]
Mo (0.0000, 0.0000, 0.5663) [3 per cell]
Mo (0.0000, 0.0000, 0.8554) [3 per cell]
Ir (0.0000, 0.0000, 0.1380) [3 per cell]
Ir (0.0000, 0.0000, 0.7109) [3 per cell]



(11)
Below is crystalline YGaPt2 at its relaxed geometry, with properties calculated at the GGA-PBE level.

Calculated values
Total magnetic moment = 0.00 μB per formula unit
Uncorrected energy = -6.084 eV/atom

Cell lengths 6.661, 6.661, 6.661 Å; angles 90.00, 90.00, 90.00 degrees
Space group F-43m (No. 216)
Inequivalent atoms, fractional coordinates:
Y (0.000, 0.000, 0.000) [4 per cell]
Ga (0.250, 0.250, 0.750) [4 per cell]
Pt (0.000, 0.000, 0.500) [4 per cell]
Pt (0.250, 0.250, 0.250) [4 per cell]



(12)
Below is crystalline BeInCuNi at its relaxed geometry, with properties calculated at the GGA-PBE level.

Calculated values
Total magnetic moment = 0.00 μB per formula unit
Uncorrected energy = -3.851 eV/atom

Cell lengths 5.914, 5.914, 5.914 Å; angles 90.00, 90.00, 90.00 degrees
Space group F-43m (No. 216)
Inequivalent atoms, fractional coordinates:
Be (0.000, 0.000, 0.000) [4 per cell]
In (0.250, 0.250, 0.250) [4 per cell]
Cu (0.250, 0.250, 0.750) [4 per cell]
Ni (0.000, 0.000, 0.500) [4 per cell]



(13)
Below is crystalline TmO at its relaxed geometry, with properties calculated at the GGA-PBE level.

Calculated values
Total magnetic moment = 0.90 μB per formula unit
Uncorrected energy = -7.474 eV/atom

Cell lengths 5.167, 5.167, 5.167 Å; angles 90.00, 90.00, 90.00 degrees
Space group F-43m (No. 216)
Inequivalent atoms, fractional coordinates:
Tm (0.000, 0.000, 0.000) [4 per cell]
O (0.250, 0.250, 0.250) [4 per cell]



(14)
Below is crystalline HfOs2O4 at its relaxed geometry, with properties calculated at the GGA-PBE level.

Calculated values
Total magnetic moment = 0.89 μB per formula unit
Uncorrected energy = -8.191 eV/atom

Cell lengths 8.828, 8.828, 8.828 Å; angles 90.00, 90.00, 90.00 degrees
Space group Fd-3m (No. 227, origin choice 2)
Inequivalent atoms, fractional coordinates:
Hf (0.125, 0.125, 0.125) [8 per cell]
Os (0.000, 0.000, 0.500) [16 per cell]
O (0.007, 0.007, 0.743) [32 per cell]



(15)
Below is crystalline AlCuBr3Cl at its relaxed geometry, with properties calculated at the GGA-PBE level.

Calculated values
Uncorrected energy = -3.311 eV/atom

Cell lengths 6.002, 6.027, 6.614 Å; angles 116.91, 115.77, 90.16 degrees
Space group P1 (No. 1)
Inequivalent atoms, fractional coordinates:
Al (0.000, 0.000, 0.000) [1 per cell]
Cu (0.754, 0.248, 0.490) [1 per cell]
Br (0.098, 0.642, 0.743) [1 per cell]
Br (0.359, 0.344, 0.244) [1 per cell]
Br (0.657, 0.107, 0.746) [1 per cell]
Cl (0.896, 0.921, 0.241) [1 per cell]



(16)
Below is crystalline Re3AgSe5 at its relaxed geometry, with properties calculated at the GGA-PBE level.

Calculated values
Total magnetic moment = 2.23 μB per formula unit
Uncorrected energy = -6.055 eV/atom

Cell lengths 5.6926, 5.6926, 7.2301 Å; angles 90.00, 90.00, 120.00 degrees
Space group P6/mmm (No. 191)
Inequivalent atoms, fractional coordinates:
Re (0.0000, 0.5000, 0.0000) [3 per cell]
Ag (0.0000, 0.0000, 0.5000) [1 per cell]
Se (0.0000, 0.0000, 0.0000) [1 per cell]
Se (0.3333, 0.6667, 0.2652) [4 per cell]



(17)
Below is crystalline CdSnTeO at its relaxed geometry, with properties calculated at the GGA-PBE level.

Calculated values
Uncorrected energy = -3.875 eV/atom

Cell lengths 4.129, 14.665, 6.514 Å; angles 90.00, 90.00, 90.00 degrees
Space group Cmc2_1 (No. 36)
Inequivalent atoms, fractional coordinates:
Cd (0.000, 0.049, 0.000) [4 per cell]
Sn (0.000, 0.340, 0.862) [4 per cell]
Te (0.000, 0.340, 0.332) [4 per cell]
O (0.000, 0.083, 0.337) [4 per cell]



(18)
Below is crystalline ScAlTcNi at its relaxed geometry, with properties calculated at the GGA-PBE level.

Calculated values
Total magnetic moment = 0.01 μB per formula unit
Uncorrected energy = -6.889 eV/atom

Cell lengths 6.167, 6.167, 6.167 Å; angles 90.00, 90.00, 90.00 degrees
Space group F-43m (No. 216)
Inequivalent atoms, fractional coordinates:
Sc (0.000, 0.000, 0.000) [4 per cell]
Al (0.000, 0.000, 0.500) [4 per cell]
Tc (0.250, 0.250, 0.250) [4 per cell]
Ni (0.250, 0.250, 0.750) [4 per cell]



(19)
Below is crystalline RbSm2CuTe3S at its relaxed geometry, with properties calculated at the GGA-PBE level.

Calculated values
Total magnetic moment = 0.00 μB per formula unit
Uncorrected energy = -4.719 eV/atom

Cell lengths 4.339, 15.186, 15.078 Å; angles 90.00, 90.00, 90.00 degrees
Space group Cmcm (No. 63)
Inequivalent atoms, fractional coordinates:
Rb (0.000, 0.087, 0.250) [4 per cell]
Sm (0.000, 0.365, 0.075) [8 per cell]
Cu (0.000, 0.157, 0.750) [4 per cell]
Te (0.000, 0.000, 0.000) [4 per cell]
Te (0.000, 0.273, 0.617) [8 per cell]
S (0.000, 0.419, 0.250) [4 per cell]



(20)
Below is crystalline Gd2ErIn3CuGe2 at its relaxed geometry, with properties calculated at the GGA-PBE level.

Calculated values
Total magnetic moment = 0.02 μB per formula unit
Uncorrected energy = -4.450 eV/atom

Cell lengths 4.254, 12.829, 7.432 Å; angles 90.00, 90.00, 90.00 degrees
Space group Amm2 (No. 38)
Inequivalent atoms, fractional coordinates:
Gd (0.000, 0.202, 0.000) [4 per cell]
Er (0.000, 0.000, 0.606) [2 per cell]
In (0.500, 0.000, 0.961) [2 per cell]
In (0.500, 0.121, 0.324) [4 per cell]
Cu (0.000, 0.000, 0.207) [2 per cell]
Ge (0.500, 0.165, 0.701) [4 per cell]



(21)
Below is crystalline LiMg2Cu at its relaxed geometry, with properties calculated at the GGA-PBE level.

Calculated values
Uncorrected energy = -2.249 eV/atom

Cell lengths 6.374, 6.637, 6.380 Å; angles 90.00, 90.00, 90.00 degrees
Space group Imma (No. 74)
Inequivalent atoms, fractional coordinates:
Li (0.000, 0.250, 0.003) [4 per cell]
Mg (0.250, 0.002, 0.750) [8 per cell]
Cu (0.000, 0.250, 0.498) [4 per cell]



(22)
Below is crystalline Ta2NbIn at its relaxed geometry, with properties calculated at the GGA-PBE level.

Calculated values
Total magnetic moment = 0.01 μB per formula unit
Uncorrected energy = -8.955 eV/atom

Cell lengths 6.710, 6.710, 6.710 Å; angles 90.00, 90.00, 90.00 degrees
Space group F-43m (No. 216)
Inequivalent atoms, fractional coordinates:
Ta (0.000, 0.000, 0.000) [4 per cell]
Ta (0.250, 0.250, 0.250) [4 per cell]
Nb (0.250, 0.250, 0.750) [4 per cell]
In (0.000, 0.000, 0.500) [4 per cell]



(23)
Below is crystalline ScCoTcB at its relaxed geometry, with properties calculated at the GGA-PBE level.

Calculated values
Total magnetic moment = 2.62 μB per formula unit
Uncorrected energy = -7.168 eV/atom

Cell lengths 5.941, 5.941, 5.941 Å; angles 90.00, 90.00, 90.00 degrees
Space group F-43m (No. 216)
Inequivalent atoms, fractional coordinates:
Sc (0.000, 0.000, 0.000) [4 per cell]
Co (0.000, 0.000, 0.500) [4 per cell]
Tc (0.250, 0.250, 0.750) [4 per cell]
B (0.250, 0.250, 0.250) [4 per cell]



(24)
Below is crystalline DyBe14 at its relaxed geometry, with properties calculated at the GGA-PBE level.

Calculated values
Total magnetic moment = 0.00 μB per formula unit
Uncorrected energy = -3.593 eV/atom

Cell lengths 6.7570, 6.7570, 11.7823 Å; angles 90.00, 90.00, 120.00 degrees
Space group R-3m (No. 166, hexagonal axes)
Inequivalent atoms, fractional coordinates:
Dy (0.0000, 0.0000, 0.0000) [3 per cell]
Be (0.0000, 0.0000, 0.2130) [6 per cell]
Be (0.0000, 0.3409, 0.5000) [18 per cell]
Be (0.1086, 0.2172, 0.6535) [18 per cell]